Arrangement w

V4CoW | the Alexandria database | PBE | relaxed; space group = P2/m; calculated density = 9.3 g/cm3
1.0
2.612 0.000 0.000
0.000 4.205 0.000
-0.016 0.000 7.295
V Co W
4 1 1
direct
0.155 0.000 0.342 V
0.170 0.500 0.823 V
0.830 0.500 0.177 V
0.845 0.000 0.658 V
0.500 0.500 0.500 Co
0.500 0.000 0.000 W

Arrangement x

V4CoW | the Alexandria database | PBE | relaxed; space group = C2/m; calculated density = 7.9 g/cm3
1.0
3.546 -2.062 0.000
3.546 2.062 0.000
-2.370 0.000 6.449
V Co W
4 1 1
direct
0.119 0.119 0.358 V
0.367 0.367 0.099 V
0.633 0.633 0.901 V
0.881 0.881 0.642 V
0.000 0.000 0.000 Co
0.500 0.500 0.500 W

Tell me which of them is the most stable. Sure, it is arrangement w.

Arrangement w

VCoW3 | the Alexandria database | PBE | relaxed; space group = Pm-3m; calculated density = 12.5 g/cm3
1.0
4.443 0.000 0.000
0.000 4.443 0.000
0.000 0.000 4.443
V Co W
1 1 3
direct
0.000 0.000 0.000 V
0.500 0.500 0.500 Co
0.000 0.500 0.500 W
0.500 0.000 0.500 W
0.500 0.500 0.000 W

Arrangement x

VCoW3 | the Alexandria database | PBE | relaxed; space group = Pm-3m; calculated density = 12.2 g/cm3
1.0
4.478 0.000 0.000
0.000 4.478 0.000
0.000 0.000 4.478
V Co W
1 1 3
direct
0.000 0.000 0.000 V
0.500 0.500 0.500 Co
0.000 0.000 0.500 W
0.000 0.500 0.000 W
0.500 0.000 0.000 W

Tell me which of them is the most stable. Sure, it is arrangement w.

Arrangement w

V2Co9W | the Alexandria database | PBE | relaxed; space group = R3m; calculated density = 10.1 g/cm3
1.0
2.516 1.452 6.093
-2.516 1.452 6.093
0.000 -2.905 6.093
V Co W
2 9 1
direct
0.000 0.000 0.000 V
0.218 0.218 0.218 V
0.002 0.497 0.497 Co
0.234 0.718 0.718 Co
0.282 0.282 0.769 Co
0.282 0.769 0.282 Co
0.497 0.002 0.497 Co
0.497 0.497 0.002 Co
0.718 0.234 0.718 Co
0.718 0.718 0.234 Co
0.769 0.282 0.282 Co
0.780 0.780 0.780 W

Arrangement x

V2Co9W | the Alexandria database | PBE | relaxed; space group = R-3m; calculated density = 7.0 g/cm3
1.0
2.301 1.329 10.491
-2.301 1.329 10.491
0.000 -2.657 10.491
V Co W
2 9 1
direct
0.091 0.091 0.091 V
0.909 0.909 0.909 V
0.031 0.543 0.543 Co
0.432 0.432 0.432 Co
0.457 0.457 0.969 Co
0.457 0.969 0.457 Co
0.500 0.500 0.500 Co
0.543 0.031 0.543 Co
0.543 0.543 0.031 Co
0.568 0.568 0.568 Co
0.969 0.457 0.457 Co
0.000 0.000 0.000 W

Tell me which of them is the most stable. Sure, it is arrangement w.